w.
Below is an optimized crystal structure of La2YCo2, with properties calculated at the PBE level.

abc: 11.315 6.251 7.403
angles: 90.00 106.64 90.00
Space group C2/c (No. 15)
Inequivalent atoms, fractional coordinates:
La 0.163 0.103 0.153 (multiplicity 8)
Y 0.000 0.443 0.750 (multiplicity 4)
Co 0.173 0.351 0.535 (multiplicity 8)


x.
Below is an optimized crystal structure of La2YCo2, with properties calculated at the PBE level.

abc: 8.274 8.274 3.254
angles: 90.00 90.00 90.00
Space group P4/mbm (No. 127)
Inequivalent atoms, fractional coordinates:
La 0.138 0.362 0.000 (multiplicity 4)
Y 0.000 0.000 0.000 (multiplicity 2)
Co 0.178 0.678 0.500 (multiplicity 4)


Result of the stability comparison: x is the least stable of them.


w.
Below is an optimized crystal structure of La2YCo2, with properties calculated at the PBE level.

abc: 4.970 4.970 10.252
angles: 90.00 90.00 90.00
Space group I4/mmm (No. 139)
Inequivalent atoms, fractional coordinates:
La 0.000 0.000 0.169 (multiplicity 4)
Y 0.000 0.000 0.500 (multiplicity 2)
Co 0.000 0.500 0.250 (multiplicity 4)


x.
Below is an optimized crystal structure of La2YCo2, with properties calculated at the PBE level.

abc: 7.440 7.440 4.326
angles: 90.00 90.00 90.00
Space group P4/mbm (No. 127)
Inequivalent atoms, fractional coordinates:
La 0.175 0.325 0.000 (multiplicity 4)
Y 0.000 0.000 0.500 (multiplicity 2)
Co 0.108 0.608 0.500 (multiplicity 4)


Result of the stability comparison: w is the least stable of them.


w.
Below is an optimized crystal structure of LaY3Co, with properties calculated at the PBE level.

abc: 5.528 5.528 5.528
angles: 90.00 90.00 90.00
Space group Pm-3m (No. 221)
Inequivalent atoms, fractional coordinates:
La 0.000 0.000 0.000 (multiplicity 1)
Y 0.000 0.000 0.500 (multiplicity 3)
Co 0.500 0.500 0.500 (multiplicity 1)


x.
Below is an optimized crystal structure of LaY3Co, with properties calculated at the PBE level.

abc: 11.711 8.406 8.283
angles: 90.00 133.52 90.00
Space group C2/m (No. 12)
Inequivalent atoms, fractional coordinates:
La 0.041 0.000 0.326 (multiplicity 4)
Y 0.045 0.500 0.248 (multiplicity 4)
Y 0.249 0.296 0.793 (multiplicity 8)
Co 0.245 0.000 0.892 (multiplicity 4)


Result of the stability comparison: w is the least stable of them.


w.
Below is an optimized crystal structure of LaY4Co, with properties calculated at the PBE level.

abc: 6.254 3.575 8.846
angles: 90.00 101.23 90.00
Space group P2/m (No. 10)
Inequivalent atoms, fractional coordinates:
La 0.000 0.000 0.000 (multiplicity 1)
Y 0.112 0.500 0.348 (multiplicity 2)
Y 0.408 0.000 0.713 (multiplicity 2)
Co 0.500 0.500 0.500 (multiplicity 1)


x.
Below is an optimized crystal structure of LaY4Co, with properties calculated at the PBE level.

abc: 9.080 9.080 9.080
angles: 90.00 90.00 90.00
Space group F-43m (No. 216)
Inequivalent atoms, fractional coordinates:
La 0.000 0.000 0.000 (multiplicity 4)
Y 0.125 0.125 0.625 (multiplicity 16)
Co 0.250 0.250 0.250 (multiplicity 4)


Result of the stability comparison: x is the least stable of them.